# 1
Ba2Hg3Bi5 | the Alexandria database | PBE | relaxed; energy = -2.73 eV per atom; magnetic moment = 0.00 μB per atom; energy relative to the elements = -0.31 eV/atom
1.0
4.9063 0.0000 0.0000
0.0000 4.9063 0.0000
0.0000 0.0000 14.4454
Ba Hg Bi
2 3 5
direct
0.0000 0.5000 0.2327
0.5000 0.0000 0.7673
0.0000 0.0000 0.0000
0.0000 0.5000 0.8732
0.5000 0.0000 0.1268
0.0000 0.0000 0.5000
0.0000 0.5000 0.6696
0.5000 0.0000 0.3304
0.5000 0.5000 0.0000
0.5000 0.5000 0.5000

# 2
BaHg6Bi2 | the Alexandria database | PBE | relaxed; energy = -1.41 eV per atom; magnetic moment = 0.00 μB per atom; E above lowest polymorph = 48 meV per atom; energy relative to the elements = -0.13 eV/atom
1.0
7.5703 -4.2970 0.0000
7.5703 4.2970 0.0000
-1.2992 0.0000 4.3395
Ba Hg Bi
1 6 2
direct
0.0000 0.0000 0.0000
0.0070 0.3714 0.6892
0.3120 0.6880 0.5000
0.3714 0.0070 0.6892
0.6286 0.9930 0.3108
0.6880 0.3120 0.5000
0.9930 0.6286 0.3108
0.3841 0.3841 0.8915
0.6159 0.6159 0.1085

# 3
Ba2Hg4Bi5 | the Alexandria database | PBE | relaxed; energy = -2.54 eV per atom; magnetic moment = 0.00 μB per atom; energy relative to the elements = -0.31 eV/atom
1.0
-3.5287 5.1263 5.2411
3.5287 -5.1263 5.2411
3.5287 5.1263 -5.2411
Ba Hg Bi
2 4 5
direct
0.2346 0.0000 0.2346
0.7654 0.0000 0.7654
0.1332 0.3562 0.7770
0.4208 0.6438 0.7770
0.5792 0.3562 0.2230
0.8668 0.6438 0.2230
0.0000 0.5000 0.5000
0.2730 0.0052 0.7323
0.2730 0.5407 0.2677
0.7270 0.4593 0.7323
0.7270 0.9948 0.2677

# 4
BaHg2Bi | the Alexandria database | PBE | relaxed; energy = -1.97 eV per atom; magnetic moment = 0.00 μB per atom; energy relative to the elements = -0.37 eV/atom
1.0
4.1307 0.0000 0.0000
0.0000 4.1307 0.0000
0.0000 0.0000 7.5645
Ba Hg Bi
1 2 1
direct
0.0000 0.0000 0.0000
0.5000 0.5000 0.2737
0.5000 0.5000 0.7263
0.0000 0.0000 0.5000

# 5
Ba2Hg9Bi | the Alexandria database | PBE | relaxed; energy = -1.08 eV per atom; magnetic moment = 0.00 μB per atom; energy relative to the elements = -0.21 eV/atom
1.0
3.3676 1.9443 9.4341
-3.3676 1.9443 9.4341
0.0000 -3.8885 9.4341
Ba Hg Bi
2 9 1
direct
0.1292 0.1292 0.1292
0.8708 0.8708 0.8708
0.0646 0.5945 0.5945
0.3379 0.3379 0.3379
0.4055 0.4055 0.9354
0.4055 0.9354 0.4055
0.5000 0.5000 0.5000
0.5945 0.0646 0.5945
0.5945 0.5945 0.0646
0.6620 0.6620 0.6620
0.9354 0.4055 0.4055
0.0000 0.0000 0.0000

# 6
Ba2Hg4Bi | the Alexandria database | PBE | relaxed; energy = -1.80 eV per atom; magnetic moment = 0.00 μB per atom; energy relative to the elements = -0.52 eV/atom
1.0
2.8404 1.6399 8.5263
-2.8404 1.6399 8.5263
0.0000 -3.2798 8.5263
Ba Hg Bi
2 4 1
direct
0.2289 0.2289 0.2289
0.7711 0.7711 0.7711
0.0584 0.0584 0.0584
0.3672 0.3672 0.3672
0.6328 0.6328 0.6328
0.9416 0.9416 0.9416
0.5000 0.5000 0.5000

# 7
BaHgBi3 | the Alexandria database | PBE | relaxed; energy = -2.04 eV per atom; magnetic moment = 0.00 μB per atom; E above lowest polymorph = 1068 meV per atom; energy relative to the elements = 0.73 eV/atom
1.0
6.4833 0.0000 0.0000
0.0000 6.4833 0.0000
0.0000 0.0000 6.4833
Ba Hg Bi
1 1 3
direct
0.0000 0.0000 0.0000
0.5000 0.5000 0.5000
0.0000 0.0000 0.5000
0.0000 0.5000 0.0000
0.5000 0.0000 0.0000

# 8
Ba3HgBi2 | the Alexandria database | PBE | relaxed; energy = -3.02 eV per atom; magnetic moment = 0.00 μB per atom; E above lowest polymorph = 66 meV per atom; energy relative to the elements = -0.71 eV/atom
1.0
8.2838 -3.5468 0.0000
8.2838 3.5468 0.0000
-3.1024 0.0000 9.6766
Ba Hg Bi
6 2 4
direct
0.1003 0.8997 0.7500
0.3029 0.3053 0.9023
0.3053 0.3029 0.4023
0.6947 0.6971 0.5977
0.6971 0.6947 0.0977
0.8997 0.1003 0.2500
0.3847 0.6153 0.2500
0.6153 0.3847 0.7500
0.1473 0.1524 0.5754
0.1524 0.1473 0.0754
0.8476 0.8527 0.9246
0.8527 0.8476 0.4246